Record 1
## Ta4FePN2 (PBE)

Data for an optimized crystal structure of Ta4FePN2.

CIF file:
```
data_Ta4FePN2
_chemical_formula_sum 'Ta4 Fe1 P1 N2'
_cell_length_a 3.1483
_cell_length_b 3.1483
_cell_length_c 12.3219
_cell_angle_alpha 90.00
_cell_angle_beta 90.00
_cell_angle_gamma 120.00
_symmetry_space_group_name_H-M 'P -6 m 2'
_symmetry_Int_Tables_number 187
_symmetry_space_group_name_Hall 'P -6 2'
loop_
_atom_site_label
_atom_site_fract_x
_atom_site_fract_y
_atom_site_fract_z
Ta1 0.0000 0.0000 0.1426
Ta2 0.3333 0.6667 0.3434
Fe1 0.0000 0.0000 0.5000
P1 0.3333 0.6667 0.0000
N1 0.6667 0.3333 0.2465
```

Properties
theoretical density	13.17	g/cm3


Record 2
## GaFeAu2 (PBE)

Data for an optimized crystal structure of GaFeAu2.

CIF file:
```
data_GaFeAu2
_chemical_formula_sum 'Ga4 Fe4 Au8'
_cell_length_a 6.3799
_cell_length_b 6.3799
_cell_length_c 6.3799
_cell_angle_alpha 90.00
_cell_angle_beta 90.00
_cell_angle_gamma 90.00
_symmetry_space_group_name_H-M 'F -4 3 m'
_symmetry_Int_Tables_number 216
_symmetry_space_group_name_Hall 'F -4 2 3'
loop_
_atom_site_label
_atom_site_fract_x
_atom_site_fract_y
_atom_site_fract_z
Ga1 0.0000 0.0000 0.0000
Fe1 0.2500 0.2500 0.7500
Au1 0.0000 0.0000 0.5000
Au2 0.2500 0.2500 0.2500
```

Properties
theoretical density	13.29	g/cm3


Record 3
## LiAlSnPd (PBE)

Data for an optimized crystal structure of LiAlSnPd.

CIF file:
```
data_LiAlSnPd
_chemical_formula_sum 'Li4 Al4 Sn4 Pd4'
_cell_length_a 6.4332
_cell_length_b 6.4332
_cell_length_c 6.4332
_cell_angle_alpha 90.00
_cell_angle_beta 90.00
_cell_angle_gamma 90.00
_symmetry_space_group_name_H-M 'F -4 3 m'
_symmetry_Int_Tables_number 216
_symmetry_space_group_name_Hall 'F -4 2 3'
loop_
_atom_site_label
_atom_site_fract_x
_atom_site_fract_y
_atom_site_fract_z
Li1 0.0000 0.0000 0.0000
Al1 0.2500 0.2500 0.2500
Sn1 0.2500 0.2500 0.7500
Pd1 0.0000 0.0000 0.5000
```

Properties
theoretical density	6.46	g/cm3
energy above the lowest structure with this stoichiometry	0.000	eV/atom


Record 4
## LuRe2Pb (PBE)

Data for an optimized crystal structure of LuRe2Pb.

CIF file:
```
data_LuRe2Pb
_chemical_formula_sum 'Lu4 Re8 Pb4'
_cell_length_a 6.7229
_cell_length_b 6.7229
_cell_length_c 6.7229
_cell_angle_alpha 90.00
_cell_angle_beta 90.00
_cell_angle_gamma 90.00
_symmetry_space_group_name_H-M 'F -4 3 m'
_symmetry_Int_Tables_number 216
_symmetry_space_group_name_Hall 'F -4 2 3'
loop_
_atom_site_label
_atom_site_fract_x
_atom_site_fract_y
_atom_site_fract_z
Lu1 0.0000 0.0000 0.0000
Re1 0.0000 0.0000 0.5000
Re2 0.2500 0.2500 0.2500
Pb1 0.2500 0.2500 0.7500
```

Properties
theoretical density	16.49	g/cm3


Record 5
## Na2ReF6 (PBE)

Data for an optimized crystal structure of Na2ReF6.

CIF file:
```
data_Na2ReF6
_chemical_formula_sum 'Na4 Re2 F12'
_cell_length_a 4.8812
_cell_length_b 4.8812
_cell_length_c 9.8994
_cell_angle_alpha 90.00
_cell_angle_beta 90.00
_cell_angle_gamma 90.00
_symmetry_space_group_name_H-M 'P 42/m n m'
_symmetry_Int_Tables_number 136
_symmetry_space_group_name_Hall '-P 4n 2n'
loop_
_atom_site_label
_atom_site_fract_x
_atom_site_fract_y
_atom_site_fract_z
Na1 0.0000 0.0000 0.1651
Re1 0.0000 0.0000 0.5000
F1 0.1880 0.1880 0.3500
F2 0.2155 0.2155 0.0000
```

Properties
theoretical density	4.87	g/cm3


Record 6
## K2ZnAgBr6 (PBE)

Data for an optimized crystal structure of K2ZnAgBr6.

CIF file:
```
data_K2ZnAgBr6
_chemical_formula_sum 'K8 Zn4 Ag4 Br24'
_cell_length_a 10.7064
_cell_length_b 10.7064
_cell_length_c 10.7064
_cell_angle_alpha 90.00
_cell_angle_beta 90.00
_cell_angle_gamma 90.00
_symmetry_space_group_name_H-M 'F m -3 m'
_symmetry_Int_Tables_number 225
_symmetry_space_group_name_Hall '-F 4 2 3'
loop_
_atom_site_label
_atom_site_fract_x
_atom_site_fract_y
_atom_site_fract_z
K1 0.2500 0.2500 0.2500
Zn1 0.0000 0.0000 0.0000
Ag1 0.0000 0.0000 0.5000
Br1 0.0000 0.0000 0.2444
```

Properties
theoretical density	3.96	g/cm3


Number 1: final energy -10.306 eV per atom. Number 2: final energy -4.372 eV per atom. Number 3: final energy -4.151 eV per atom. Number 4: final energy -7.604 eV per atom. Number 5: final energy -5.330 eV per atom. Number 6: final energy -2.587 eV per atom.